Entry 1:
# Er4Ni2N

An optimized crystal structure of Er4Ni2N (GGA-PBE, Alexandria via LeMat-Bulk).

```
Er4Ni2N
1.0
4.611 0.000 0.000
0.000 4.611 0.000
2.306 2.306 6.746
Ni Er N
2 4 1
Direct
0.624 0.624 0.752 Ni
0.376 0.376 0.248 Ni
0.000 0.500 0.000 Er
0.818 0.818 0.363 Er
0.500 0.000 0.000 Er
0.182 0.182 0.637 Er
0.000 0.000 0.000 N
```

Properties
Its symmetry is I4/mmm, No. 139. The value obtained for the uncorrected formation energy is -582 meV per atom.

***

Entry 2:
# La12Pr5Sm

An optimized crystal structure of La12Pr5Sm (GGA-PBE, Alexandria via LeMat-Bulk).

```
La12Pr5Sm
1.0
-0.106 11.146 0.043
-9.434 5.473 2.391
3.582 0.014 5.363
Pr La Sm
5 12 1
Direct
0.500 0.000 0.500 Pr
0.667 0.667 0.999 Pr
0.333 0.333 0.001 Pr
0.834 0.332 0.499 Pr
0.166 0.668 0.501 Pr
0.331 0.000 0.000 La
0.167 0.000 0.500 La
0.833 0.000 0.500 La
0.501 0.333 0.501 La
0.835 0.667 0.499 La
0.001 0.333 0.000 La
0.666 0.333 0.000 La
0.499 0.667 0.499 La
0.334 0.667 0.000 La
0.165 0.333 0.501 La
0.669 0.000 0.000 La
0.999 0.667 0.000 La
0.000 0.000 0.000 Sm
```

Properties
Its symmetry is C2/m, No. 12. As for the formation energy: 0.014 eV/atom.

***

no.,total moment (μB/atom)
1,0.000
2,0.000